[1]
20
Lattice="6.973 -6.692 0.000 6.973 6.692 0.000 -2.376 0.000 6.505" Properties=species:S:1:pos:R:3 comment="NaTlCo2Cl6 | the Alexandria database | PBE | optimized geometry" density_g_cm3=3.05 total_energy_ev_per_cell=-75.7 volume_a3_per_atom=30.35 raw_formation_energy_mev_per_atom=-887 magnetic_moment_mub_per_cell=12.00 pbc="T T T"
Na 5.191 3.669 4.878
Na 6.379 -3.669 1.626
Tl 6.379 1.366 1.626
Tl 5.191 -1.366 4.878
Co 1.344 1.015 4.108
Co 2.532 -1.015 0.856
Co 9.037 1.015 5.649
Co 10.225 -1.015 2.396
Cl 4.551 3.873 2.238
Cl 1.520 0.782 1.820
Cl 0.332 -0.782 5.073
Cl 3.380 1.327 5.001
Cl 8.206 3.873 1.014
Cl 4.568 -1.327 1.749
Cl 7.001 1.327 4.756
Cl 3.363 -3.873 5.490
Cl 8.189 -1.327 1.503
Cl 11.237 0.782 1.432
Cl 10.049 -0.782 4.684
Cl 7.018 -3.873 4.267

=====

[2]
5
Lattice="5.000 0.000 0.000 0.000 5.000 0.000 0.000 0.000 5.436" Properties=species:S:1:pos:R:3 comment="RbHfP2Cl | the Alexandria database | PBE | optimized geometry" density_g_cm3=4.42 de_polymorph_ev_per_atom=0.000 total_energy_ev_per_cell=-27.1 volume_a3_per_atom=27.18 raw_formation_energy_mev_per_atom=-693 magnetic_moment_mub_per_cell=0.00 pbc="T T T"
Rb 0.000 0.000 0.000
Hf 2.500 2.500 2.718
P 0.000 2.500 2.718
P 2.500 0.000 2.718
Cl 2.500 2.500 0.000

=====

[3]
11
Lattice="5.902 -3.433 0.000 5.902 3.433 0.000 -5.900 0.000 8.187" Properties=species:S:1:pos:R:3 comment="Na2Tl5In4 | the Alexandria database | PBE | optimized geometry" density_g_cm3=7.64 e_form_ev_per_atom=0.01 de_polymorph_ev_per_atom=0.025 total_energy_ev_per_cell=-25.4 volume_a3_per_atom=30.16 magnetic_moment_mub_per_cell=0.00 pbc="T T T"
Na -0.904 0.000 2.421
Na 6.807 0.000 5.767
Tl 1.874 1.818 2.713
Tl 4.029 1.818 5.474
Tl 5.902 0.000 0.000
Tl 1.874 -1.818 2.713
Tl 4.029 -1.818 5.474
In 2.748 0.000 0.210
In 1.171 0.000 5.282
In 4.733 0.000 2.906
In 3.155 0.000 7.978

=====

[4]
12
Lattice="3.545 -6.141 0.000 3.545 6.141 0.000 -2.364 0.000 8.062" Properties=species:S:1:pos:R:3 comment="Cs3DyHo2S6 | the Alexandria database | PBE | optimized geometry" density_g_cm3=5.13 total_energy_ev_per_cell=-63.1 volume_a3_per_atom=29.25 raw_formation_energy_mev_per_atom=-1833 magnetic_moment_mub_per_cell=0.00 pbc="T T T"
Cs 0.000 0.000 0.000
Cs 3.545 2.046 0.000
Cs 3.545 -2.046 0.000
Dy 2.363 0.000 4.031
Ho 2.363 4.094 4.031
Ho 2.363 -4.094 4.031
S 1.178 2.053 2.571
S -0.008 0.000 5.491
S 1.178 -2.053 2.571
S 3.549 2.053 5.491
S 4.735 0.000 2.571
S 3.549 -2.053 5.491

=====

[5]
3
Lattice="0.000 3.118 3.118 3.118 0.000 3.118 3.118 3.118 0.000" Properties=species:S:1:pos:R:3 comment="LiZrSe | the Alexandria database | PBE | optimized geometry" density_g_cm3=4.85 de_polymorph_ev_per_atom=0.452 total_energy_ev_per_cell=-15.3 volume_a3_per_atom=20.20 raw_formation_energy_mev_per_atom=-460 magnetic_moment_mub_per_cell=1.07 pbc="T T T"
Li 0.000 0.000 0.000
Zr 3.118 3.118 3.118
Se 1.559 1.559 1.559

=====

[6]
22
Lattice="0.000 5.327 5.327 5.327 0.000 5.327 5.327 5.327 0.000" Properties=species:S:1:pos:R:3 comment="Ce2Ta2O7 | the Alexandria database | PBE | optimized geometry" density_g_cm3=8.28 total_energy_ev_per_cell=-205.3 volume_a3_per_atom=13.74 raw_formation_energy_mev_per_atom=-2941 magnetic_moment_mub_per_cell=8.15 pbc="T T T"
Ce 0.000 0.000 0.000
Ce 2.664 2.664 0.000
Ce 2.664 0.000 2.664
Ce 0.000 2.664 2.664
Ta 5.327 2.664 2.664
Ta 2.664 5.327 2.664
Ta 2.664 2.664 5.327
Ta 5.327 5.327 5.327
O 1.332 1.332 1.332
O 3.995 3.995 1.854
O 3.995 1.854 3.995
O 6.137 3.995 3.995
O 6.659 6.659 4.518
O 6.659 4.518 6.659
O 8.800 6.659 6.659
O 1.854 3.995 3.995
O 3.995 6.137 3.995
O 3.995 3.995 6.137
O 4.518 6.659 6.659
O 6.659 8.800 6.659
O 6.659 6.659 8.800
O 9.323 9.323 9.323